This record from Alexandria describes crystalline LiNi2HPb at its relaxed geometry. The functional is PBE. Values from VASP.

Cell and atoms, written as Quantum ESPRESSO input:
```
&SYSTEM
  ibrav = 0, nat = 5, ntyp = 4
/
ATOMIC_SPECIES
Li 6.94 Li.upf
Ni 58.69 Ni.upf
H 1.01 H.upf
Pb 207.20 Pb.upf
CELL_PARAMETERS angstrom
3.811 0.000 0.000
0.000 3.811 0.000
0.000 0.000 4.038
ATOMIC_POSITIONS angstrom
Li 0.000 0.000 0.000
Ni 0.000 1.906 2.019
Ni 1.906 0.000 2.019
H 0.000 0.000 2.019
Pb 1.906 1.906 0.000
```

Values from the calculation:
Density of states at the Fermi level = 2.51 states/eV/f.u.
SG = P4/mmm, No. 123
Electronic total energy = -4.175 eV/atom